1.
A plane-wave DFT calculation with PBE-GGA was carried out for an optimized crystal structure of Mg5Re.

For the formation enthalpy at 0 K, the calculation gives 244.0 meV/atom.

a = 2.9069 Å, b = 2.9069 Å, c = 14.1106 Å
α = 90.00°, β = 90.00°, γ = 90.00°
Space group P4/mmm (No. 123)
Asymmetric unit:
Mg1 0.0000 0.0000 0.0000
Mg2 0.0000 0.0000 0.3562
Mg3 0.5000 0.5000 0.1760
Re1 0.5000 0.5000 0.5000

***

2.
A plane-wave DFT calculation with PBE-GGA was carried out for an optimized crystal structure of Ni2CBr.

The raw formation energy comes out at 1.389 eV/atom.

a = 5.7551 Å, b = 5.7551 Å, c = 5.7551 Å
α = 90.00°, β = 90.00°, γ = 90.00°
Space group Fm-3m (No. 225)
Asymmetric unit:
Ni1 0.2500 0.2500 0.2500
C1 0.0000 0.0000 0.0000
Br1 0.0000 0.0000 0.5000

***

Number 1: Fermi-level density of states 0.9175 states/eV/atom, volume 19.87 A^3/atom. Number 2: Fermi-level density of states 0.4498 states/eV/atom, volume 11.91 A^3/atom.